Entry 1:
This record from Alexandria describes an optimized crystal structure of Mg3Ta. The functional is GGA-PBE. Values from VASP.

Geometry as Quantum ESPRESSO input:
```
&SYSTEM
  ibrav = 0, nat = 8, ntyp = 2
/
ATOMIC_SPECIES
Mg 24.30 Mg.upf
Ta 180.95 Ta.upf
CELL_PARAMETERS angstrom
-0.2974 0.2455 6.0931
-3.3122 -4.1199 -3.0544
3.7424 -3.2410 0.3132
ATOMIC_POSITIONS angstrom
Mg 0.0094 -5.8053 -1.2577
Mg 1.6250 -3.7957 0.2322
Mg -0.1357 -5.6856 1.7144
Mg -1.4922 -3.3198 3.1196
Mg 0.2685 -1.4298 1.6374
Mg 0.1235 -1.3101 4.6096
Ta 1.5045 -3.6404 3.2788
Ta -1.3717 -3.4750 0.0730
```

Values from the calculation:
- Space group: P6_3/mmc
- M_tot: 0.48 μB/f.u.
- Energy of formation: 1.59 eV per formula unit
- Volume: 20.02 A^3/atom
- Crystal system: hexagonal

---

Entry 2:
This record from Alexandria describes an optimized crystal structure of CeY7Ho12. The functional is GGA-PBE. Values from VASP.

Geometry as Quantum ESPRESSO input:
```
&SYSTEM
  ibrav = 0, nat = 20, ntyp = 3
/
ATOMIC_SPECIES
Ho 164.93 Ho.upf
Y 88.91 Y.upf
Ce 140.12 Ce.upf
CELL_PARAMETERS angstrom
8.4584 1.0159 1.5249
-1.3761 8.4073 1.5249
-1.3761 -1.8309 8.3460
ATOMIC_POSITIONS angstrom
Ho 3.9124 6.7228 4.0941
Ho 0.0541 4.0887 7.7810
Ho 2.1820 3.9621 2.2751
Ho 0.3364 5.9816 4.6256
Ho 5.3698 1.6108 6.7702
Ho 5.7621 5.3369 6.8631
Ho 3.5243 3.6303 9.1207
Ho 1.7939 0.8695 7.3017
Ho 5.6521 3.5037 3.6147
Ho 2.5072 6.7244 7.5686
Ho -0.0558 2.2554 4.5326
Ho 3.1991 0.8680 3.8272
Y 2.8531 3.7962 5.6979
Y 4.2857 -0.5790 9.2014
Y -1.4729 1.0525 8.3861
Y 1.4206 8.1713 2.1944
Y 7.4540 0.6244 4.2013
Y 7.1791 6.5398 3.0097
Y -1.7478 6.9679 7.1945
Ce 0.0000 0.0000 0.0000
```

Values from the calculation:
- Space group: R-3
- M_tot: 0.05 μB/f.u.
- Energy of formation: 5.21 eV per formula unit
- Volume: 32.41 A^3/atom
- Crystal system: trigonal

---

Entry 3:
This record from Alexandria describes an optimized crystal structure of Dy4MgGaRu2. The functional is GGA-PBE. Values from VASP.

Geometry as Quantum ESPRESSO input:
```
&SYSTEM
  ibrav = 0, nat = 8, ntyp = 4
/
ATOMIC_SPECIES
Mg 24.30 Mg.upf
Ru 101.07 Ru.upf
Dy 162.50 Dy.upf
Ga 69.72 Ga.upf
CELL_PARAMETERS angstrom
-0.6589 1.3422 4.7392
-4.5409 -0.1405 2.0140
-0.4504 -7.2887 4.6070
ATOMIC_POSITIONS angstrom
Mg 0.0000 0.0000 0.0000
Ru -4.2286 -4.6194 8.5367
Ru -1.4216 -1.4677 2.8235
Dy -4.7127 -1.7179 7.6477
Dy -2.3509 -5.8858 6.5510
Dy -3.2993 -0.2013 4.8092
Dy -0.9375 -4.3691 3.7125
Ga -2.8251 -3.0435 5.6801
```

Values from the calculation:
- Space group: R-3m
- M_tot: 0.00 μB/f.u.
- Energy of formation: -2.65 eV per formula unit
- Volume: 21.77 A^3/atom
- Crystal system: trigonal

---

> Look up the M_tot of the third one.

0.00 μB/f.u.

---

> Which of these has the highest energy of formation?

CeY7Ho12

---

> Number 1 is which compound?

Mg3Ta